Below is a relaxed Pm2Ga2Pd3 crystal, with properties calculated at the PBE-GGA level.

The value obtained for the formation energy is -0.8046 eV/atom. As for the symmetry: Cmcm, No. 63. The density of states at the Fermi level is 0.58 states/eV/atom. For the total magnetization, the calculation gives 0.00 μB per formula unit. The density comes out at 8.6 g/cm³. The calculation puts the calculated total energy at -5.25 eV per atom. For the excess energy over the best structure of this formula in the dataset, the calculation gives 0.148 kcal/mol of atoms.

```
Pm2Ga2Pd3
1.0
4.035 0.000 -0.962
0.000 7.224 0.000
0.219 0.000 9.860
Pm Ga Pd
4 4 6
direct
0.152 0.250 0.304
0.848 0.750 0.696
0.940 0.250 0.881
0.060 0.750 0.119
0.692 0.944 0.385
0.308 0.056 0.615
0.308 0.444 0.615
0.692 0.556 0.385
0.226 0.750 0.452
0.774 0.250 0.548
0.565 0.445 0.131
0.435 0.555 0.869
0.435 0.945 0.869
0.565 0.055 0.131
```